Here is a geometry-optimized ScCrF2 structure from Alexandria. Energies are from GGA+U.

Lattice parameters (Å, degrees): 4.3442 4.3442 4.3442 60.00 60.00 60.00
Site moments in Bohr magnetons follow the coordinates.
Fractional positions:
F (0.2500, 0.2500, 0.2500)  0.09
Sc (0.0000, 0.0000, 0.0000)  1.01
Cr (0.5000, 0.5000, 0.5000)  4.57
F (0.7500, 0.7500, 0.7500)  0.09

## Properties
* calculated volume: 58 Å³/f.u.
* energy above the lowest structure with this stoichiometry: 52.3 kJ per mole of atoms
* total moment: 6.6 μB per formula unit